## one
LiAg6Sb2: optimized geometry, PBE.

The structure in POSCAR format:
```
LiAg6Sb2
1.0
7.2226 0.0000 0.0000
0.0000 7.2226 0.0000
0.0000 0.0000 8.6826
Li Ag Sb
2 12 4
direct
0.0000 0.0000 0.0000
0.5000 0.5000 0.5000
0.2680 0.2680 0.3377
0.7320 0.7320 0.3377
0.2320 0.7680 0.8377
0.7680 0.2320 0.8377
0.2320 0.7680 0.1623
0.7680 0.2320 0.1623
0.2680 0.2680 0.6623
0.7320 0.7320 0.6623
0.2517 0.2517 0.0000
0.7483 0.7483 0.0000
0.2483 0.7517 0.5000
0.7517 0.2483 0.5000
0.0000 0.0000 0.3197
0.5000 0.5000 0.8197
0.5000 0.5000 0.1803
0.0000 0.0000 0.6803
```

Computed properties:
total magnetic moment	0.00	μB/atom
D(E_F)	5.95	states/eV/cell
space-group type	P4_2/mnm (136)



## two
LiAg6Sb2: optimized geometry, PBE.

The structure in POSCAR format:
```
LiAg6Sb2
1.0
-1.8321 2.1155 3.2851
-2.3764 -4.4068 -1.3220
6.9184 -2.2688 5.3193
Li Ag Sb
1 6 2
direct
0.0000 0.0000 0.5000
0.3343 0.6686 0.9453
0.6657 0.3314 0.0547
0.0042 0.0084 0.1638
0.6709 0.3417 0.3913
0.9958 0.9916 0.8362
0.3291 0.6583 0.6087
0.6604 0.3207 0.7187
0.3396 0.6793 0.2813
```

Computed properties:
total magnetic moment	0.00	μB/atom
D(E_F)	2.48	states/eV/cell
space-group type	C2/m (12)



Which one is most stable, and which one is least stable? two is the most stable of them, while one is the least stable.